Here is a geometry-optimized Ti2InC structure from Alexandria via LeMat-Bulk. Energies are from GGA-PBE.

Results
Raw total energy = -7.585 eV per atom
Spin magnetization = 0.00 μB per formula unit
Energy relative to the lowest polymorph listed for this composition = 25 meV per atom
ΔH_f (0 K) = -0.647 eV/atom

a b c (Å): 3.1402 3.1402 21.4421
angles (deg): 90.00 90.00 120.00
Closest atoms and distances in Å follow each position.
Space group R3m (No. 160, hexagonal axes)
Inequivalent atoms, fractional coordinates:
Ti: 0.0000 0.0000 0.0000 x3  3 C 2.12
Ti: 0.0000 0.0000 0.2295 x3  3 C 2.14
In: 0.0000 0.0000 0.4481 x3  6 Ti 3.06, 6 In 3.14
C: 0.0000 0.0000 0.6157 x3  6 Ti 2.12-2.14